# Ba3SeN, relaxed, DFT GGA-PBEsol
data_Ba3SeN
_chemical_formula_sum 'Ba3 Se1 N1'
_symmetry_space_group_name_H-M 'P m -3 m'
_symmetry_Int_Tables_number 221
_symmetry_space_group_name_Hall '-P 4 2 3'
_cell_length_a 5.4016
_cell_length_b 5.4016
_cell_length_c 5.4016
_cell_angle_alpha 90.00
_cell_angle_beta 90.00
_cell_angle_gamma 90.00
loop_
_atom_site_label
_atom_site_fract_x
_atom_site_fract_y
_atom_site_fract_z
Ba1 0.0000 0.0000 0.5000
Se1 0.5000 0.5000 0.5000
N1 0.0000 0.0000 0.0000
# Density ... 5.32 g cm⁻³
# VASP energy ... -4.604 eV per atom
# Uncorrected formation energy ... -0.84 eV per atom